## a
# Na2Ge2Au

An optimized crystal structure of Na2Ge2Au (PBE, the Alexandria database).

Cell lengths 5.7237, 5.7237, 10.5908 Å; angles 115.09, 115.09, 46.98 degrees
With the nearest neighbours (Å) after each atom.
Fractional positions:
Na: 0.0817 0.0817 0.3848  6 Ge 3.05-3.18, 2 Au 3.32
Na: 0.3167 0.3167 0.8106  4 Au 3.09-3.40, 7 Ge 3.20-3.41
Na: 0.6833 0.6833 0.1894  4 Au 3.09-3.40, 7 Ge 3.20-3.41
Na: 0.9183 0.9183 0.6152  6 Ge 3.05-3.18, 2 Au 3.32
Ge: 0.0887 0.0887 0.9488  1 Ge 2.55, 3 Au 2.63-2.77
Ge: 0.3799 0.3799 0.4031  1 Ge 2.41, 1 Au 2.62
Ge: 0.6201 0.6201 0.5969  1 Ge 2.41, 1 Au 2.62
Ge: 0.9113 0.9113 0.0512  1 Ge 2.55, 3 Au 2.63-2.77
Au: 0.3744 0.3744 0.1535  4 Ge 2.62-2.77
Au: 0.6256 0.6256 0.8465  4 Ge 2.62-2.77

Values from the calculation:
Space group: C2/m
Total moment (μB per formula unit): 0.00

## b
# Na2Ge2Au

An optimized crystal structure of Na2Ge2Au (PBE, the Alexandria database).

Cell lengths 6.6297, 6.6297, 4.9282 Å; angles 90.00, 90.00, 90.00 degrees
With the nearest neighbours (Å) after each atom.
Fractional positions:
Na: 0.1760 0.3240 0.0000  6 Ge 3.05-3.21, 1 Na 3.30
Na: 0.3240 0.8240 0.0000  6 Ge 3.05-3.21, 1 Na 3.30
Na: 0.6760 0.1760 0.0000  6 Ge 3.05-3.21, 1 Na 3.30
Na: 0.8240 0.6760 0.0000  6 Ge 3.05-3.21, 1 Na 3.30
Ge: 0.1315 0.6315 0.5000  1 Ge 2.47, 2 Au 2.59
Ge: 0.3685 0.1315 0.5000  1 Ge 2.47, 2 Au 2.59
Ge: 0.6315 0.8685 0.5000  1 Ge 2.47, 2 Au 2.59
Ge: 0.8685 0.3685 0.5000  1 Ge 2.47, 2 Au 2.59
Au: 0.0000 0.0000 0.5000  4 Ge 2.59
Au: 0.5000 0.5000 0.5000  4 Ge 2.59

Values from the calculation:
Space group: P4/mbm
Total moment (μB per formula unit): 0.00

## c
# Na2Ge2Au

An optimized crystal structure of Na2Ge2Au (PBE, the Alexandria database).

Cell lengths 4.0481, 4.0481, 13.1919 Å; angles 90.00, 90.00, 90.00 degrees
With the nearest neighbours (Å) after each atom.
Fractional positions:
Na: 0.0000 0.5000 0.2500  4 Na 2.86, 4 Ge 2.94
Na: 0.0000 0.5000 0.7500  4 Na 2.86, 4 Ge 2.94
Na: 0.5000 0.0000 0.2500  4 Na 2.86, 4 Ge 2.94
Na: 0.5000 0.0000 0.7500  4 Na 2.86, 4 Ge 2.94
Ge: 0.0000 0.0000 0.0879  1 Ge 2.32
Ge: 0.0000 0.0000 0.9121  1 Ge 2.32
Ge: 0.5000 0.5000 0.4121  1 Ge 2.32
Ge: 0.5000 0.5000 0.5879  1 Ge 2.32
Au: 0.0000 0.0000 0.5000  8 Ge 3.09
Au: 0.5000 0.5000 0.0000  8 Ge 3.09

Values from the calculation:
Space group: I4/mmm
Total moment (μB per formula unit): 0.00

## d
# Na2Ge2Au

An optimized crystal structure of Na2Ge2Au (PBE, the Alexandria database).

Cell lengths 5.5994, 5.5994, 8.3039 Å; angles 96.52, 96.52, 64.79 degrees
With the nearest neighbours (Å) after each atom.
Fractional positions:
Na: 0.0231 0.2863 0.1562  6 Ge 3.09-3.39, 2 Au 3.14-3.28
Na: 0.2863 0.0231 0.6562  6 Ge 3.09-3.39, 2 Au 3.14-3.28
Na: 0.7137 0.9769 0.3438  6 Ge 3.09-3.39, 2 Au 3.14-3.28
Na: 0.9769 0.7137 0.8438  6 Ge 3.09-3.39, 2 Au 3.14-3.28
Ge: 0.2084 0.5242 0.4950  1 Ge 2.47, 2 Au 2.59-2.68
Ge: 0.4758 0.7916 0.0050  1 Ge 2.47, 2 Au 2.59-2.68
Ge: 0.5242 0.2084 0.9950  1 Ge 2.47, 2 Au 2.59-2.68
Ge: 0.7916 0.4758 0.5050  1 Ge 2.47, 2 Au 2.59-2.68
Au: 0.4334 0.5666 0.2500  4 Ge 2.59-2.68
Au: 0.5666 0.4334 0.7500  4 Ge 2.59-2.68

Values from the calculation:
Space group: C2/c
Total moment (μB per formula unit): 0.00

Most stable structure: b

## a
# Na3Ge2Au4

An optimized crystal structure of Na3Ge2Au4 (PBE, the Alexandria database).

Cell lengths 5.7800, 5.7800, 8.7655 Å; angles 99.47, 99.47, 46.08 degrees
With the nearest neighbours (Å) after each atom.
Fractional positions:
Na: 0.0000 0.0000 0.0000  6 Au 3.15-3.30
Na: 0.3784 0.3784 0.6071  6 Au 3.04-3.17, 1 Ge 3.18
Na: 0.6216 0.6216 0.3929  6 Au 3.04-3.17, 1 Ge 3.18
Ge: 0.3341 0.3341 0.2121  5 Au 2.64-2.70
Ge: 0.6659 0.6659 0.7879  5 Au 2.64-2.70
Au: 0.0896 0.0896 0.6289  2 Au 2.68-2.84, 2 Ge 2.70
Au: 0.2729 0.2729 0.9070  3 Ge 2.64-2.66, 3 Au 2.84-2.88
Au: 0.7271 0.7271 0.0930  3 Ge 2.64-2.66, 3 Au 2.84-2.88
Au: 0.9104 0.9104 0.3711  2 Au 2.68-2.84, 2 Ge 2.70

Values from the calculation:
Space group: C2/m
Total moment (μB per formula unit): 0.00

## b
# Na3Ge2Au4

An optimized crystal structure of Na3Ge2Au4 (PBE, the Alexandria database).

Cell lengths 5.6172, 5.6172, 8.7556 Å; angles 114.02, 114.02, 49.31 degrees
With the nearest neighbours (Å) after each atom.
Fractional positions:
Na: 0.0000 0.0000 0.0000  8 Au 2.96-3.31, 4 Ge 3.00
Na: 0.3066 0.3066 0.3687  5 Au 3.02-3.35, 2 Ge 3.09-3.15, 1 Na 3.34
Na: 0.6934 0.6934 0.6313  5 Au 3.02-3.35, 2 Ge 3.09-3.15, 1 Na 3.34
Ge: 0.4643 0.4643 0.7712  4 Au 2.62-2.69
Ge: 0.5357 0.5357 0.2288  4 Au 2.62-2.69
Au: 0.0006 0.0006 0.3383  2 Ge 2.62, 2 Au 2.84-2.91
Au: 0.2966 0.2966 0.9369  2 Ge 2.63-2.69, 3 Au 2.91-2.93
Au: 0.7034 0.7034 0.0631  2 Ge 2.63-2.69, 3 Au 2.91-2.93
Au: 0.9994 0.9994 0.6617  2 Ge 2.62, 2 Au 2.84-2.91

Values from the calculation:
Space group: C2/m
Total moment (μB per formula unit): 0.00

Most stable structure: b